# Sm4MgV4O12 PBE with a Hubbard U optimized geometry
data_Sm4MgV4O12
_chemical_formula_sum 'Sm4 Mg1 V4 O12'
_symmetry_space_group_name_H-M 'P 1'
_symmetry_Int_Tables_number 1
_cell_length_a 5.5253
_cell_length_b 6.0469
_cell_length_c 8.0059
_cell_angle_alpha 88.52
_cell_angle_beta 88.44
_cell_angle_gamma 86.65
loop_
_symmetry_equiv_pos_as_xyz
'x,y,z'
loop_
_atom_site_label
_atom_site_fract_x
_atom_site_fract_y
_atom_site_fract_z
Sm1 0.0000 0.0000 0.0000
Sm2 0.0599 0.2082 0.5568
Sm3 0.5253 0.7032 0.5603
Sm4 0.6188 0.5458 0.0327
Mg1 0.1795 0.3614 0.1509
V1 0.0568 0.6158 0.7865
V2 0.0611 0.6969 0.3289
V3 0.5389 0.1294 0.7865
V4 0.5626 0.1096 0.2951
O1 0.1930 0.6532 0.0490
O2 0.2371 0.9351 0.7398
O3 0.2512 0.9393 0.3735
O4 0.3268 0.4430 0.3580
O5 0.3716 0.4202 0.7290
O6 0.4145 0.1695 0.0355
O7 0.6720 0.0769 0.5509
O8 0.7248 0.8196 0.8450
O9 0.7584 0.8036 0.2209
O10 0.8587 0.3099 0.8394
O11 0.8601 0.2870 0.2053
O12 0.9222 0.5902 0.5435
# * calculated volume: 266.9 Å³/f.u.
# * relative energy among the computed polymorphs: 0 meV per atom
# * total magnetic moment: 10.0 μB per cell